Entry from Alexandria via LeMat-Bulk: In2ICl after structural relaxation (PBE-GGA).

Lattice parameters (Å, degrees): 4.0589 4.0589 7.9509 90.00 90.00 90.00
Atoms (fractional coordinates):
I  0.5000  0.5000  0.5000
Cl  0.5000  0.5000  0.0000
In  0.0000  0.0000  0.7749
In  0.0000  0.0000  0.2251

Properties
Uncorrected formation energy = -0.573 eV per atom
ΔE to the lowest computed polymorph = 44.9 meV per atom

Entry from Alexandria via LeMat-Bulk: Rb2Tl2Zn after structural relaxation (PBE-GGA).

Lattice parameters (Å, degrees): 7.8980 7.8980 6.2340 90.00 90.00 90.00
Atoms (fractional coordinates):
Tl  0.3600  0.8600  0.0000
Tl  0.8600  0.6400  0.0000
Tl  0.6400  0.1400  0.0000
Tl  0.1400  0.3600  0.0000
Zn  0.0000  0.0000  0.0000
Zn  0.5000  0.5000  0.0000
Rb  0.1799  0.6799  0.5000
Rb  0.6799  0.8201  0.5000
Rb  0.8201  0.3201  0.5000
Rb  0.3201  0.1799  0.5000

Properties
Formation energy = 75 meV per atom
ΔE to the lowest computed polymorph = 0.0 meV per atom

Entry from Alexandria via LeMat-Bulk: Np3TiSe2O6 after structural relaxation (PBE-GGA).

Lattice parameters (Å, degrees): 5.6593 6.8930 6.6648 121.14 78.49 90.00
Atoms (fractional coordinates):
Np  0.0000  0.5000  0.0000
Np  0.5000  0.5000  0.5000
Np  0.5000  0.0000  0.5000
Ti  0.5000  0.0000  0.0000
Se  0.1441  0.7130  0.4260
Se  0.8559  0.2870  0.5740
O  0.6997  0.3223  0.1344
O  0.3003  0.6777  0.8656
O  0.6439  0.8294  0.6587
O  0.3561  0.1706  0.3413
O  0.3003  0.1879  0.8656
O  0.6997  0.8121  0.1344

Properties
Uncorrected formation energy = -2.218 eV per atom

Entry from Alexandria via LeMat-Bulk: Nd2MgI after structural relaxation (PBE-GGA).

Lattice parameters (Å, degrees): 3.7883 3.7883 8.5389 90.00 90.00 90.00
Atoms (fractional coordinates):
I  0.5000  0.5000  0.5000
Mg  0.5000  0.5000  0.0000
Nd  0.0000  0.0000  0.7622
Nd  0.0000  0.0000  0.2378

Properties
Uncorrected formation energy = -0.391 eV per atom
ΔE to the lowest computed polymorph = 0.0 meV per atom

no.,E (eV per atom)
1,-2.7913
2,-1.5133
3,-9.1713
4,-3.5610